# 1
## MnHg3Se (PBE)

Data for a relaxed MnHg3Se crystal. Values from VASP.

```
&SYSTEM
  ibrav = 0, nat = 5, ntyp = 3
/
ATOMIC_SPECIES
Hg 200.59 Hg.upf
Mn 54.94 Mn.upf
Se 78.96 Se.upf
CELL_PARAMETERS angstrom
5.233 0.000 0.000
0.000 5.233 0.000
0.000 0.000 5.233
ATOMIC_POSITIONS angstrom
Hg 0.000 2.617 0.000
Hg 2.617 0.000 0.000
Hg 0.000 0.000 2.617
Mn 0.000 0.000 0.000
Se 2.617 2.617 2.617
```

Values from the calculation:
calculated volume = 28.66 Å³/atom
DOS(E_F) = 2.229 states/eV per cell
excess energy over the best structure of this formula in the dataset = 0 meV per atom

# 2
## Li2GeAsS4 (PBE)

Data for a relaxed Li2GeAsS4 crystal. Values from VASP.

```
&SYSTEM
  ibrav = 0, nat = 16, ntyp = 4
/
ATOMIC_SPECIES
S 32.06 S.upf
As 74.92 As.upf
Li 6.94 Li.upf
Ge 72.64 Ge.upf
CELL_PARAMETERS angstrom
-1.636 -3.122 -5.292
-2.176 -4.842 3.529
-7.814 3.688 0.240
ATOMIC_POSITIONS angstrom
S -7.162 -4.948 -1.503
S -3.839 -3.429 -3.555
S -7.775 -1.908 0.584
S -0.946 -1.913 -1.396
S -8.201 -1.370 -3.421
S -3.261 -6.782 -1.947
S -4.323 -3.537 0.478
S -4.984 -0.339 -1.395
As -2.489 -5.306 0.484
As -5.875 -2.044 -4.214
Li -3.466 -2.207 -1.463
Li -3.442 -2.365 2.443
Li -7.391 -0.355 -1.342
Li -7.331 -0.530 2.563
Ge -1.962 -3.848 -4.753
Ge -6.571 -3.825 0.478
```

Values from the calculation:
calculated volume = 21.90 Å³/atom
raw total energy = -4.288 eV per atom
DOS(E_F) = 0.881 states/eV per cell

# 3
## KSrDyBr6 (PBE)

Data for a relaxed KSrDyBr6 crystal. Values from VASP.

```
&SYSTEM
  ibrav = 0, nat = 18, ntyp = 4
/
ATOMIC_SPECIES
Br 79.90 Br.upf
Dy 162.50 Dy.upf
Sr 87.62 Sr.upf
K 39.10 K.upf
CELL_PARAMETERS angstrom
-6.579 -2.217 -3.318
6.700 -2.912 -2.417
-1.181 -10.470 9.338
ATOMIC_POSITIONS angstrom
Br 1.616 -7.797 4.929
Br -4.524 -5.336 1.205
Br -0.812 -10.943 6.001
Br -2.475 -2.318 -0.058
Br 1.415 -13.281 3.661
Br -0.506 -9.908 2.294
Br -2.676 -7.801 -1.326
Br 3.464 -10.263 2.399
Br -4.211 -4.596 -2.832
Br -0.248 -4.655 -2.397
Br 3.151 -11.003 6.435
Br -0.554 -5.691 1.309
Dy 1.388 -10.532 4.286
Dy -2.448 -5.066 -0.683
Sr 1.978 -5.298 -0.383
Sr -3.039 -10.301 3.986
K -0.591 -5.235 4.669
K 0.000 0.000 0.000
```

Values from the calculation:
calculated volume = 40.11 Å³/atom
raw total energy = -3.886 eV per atom
DOS(E_F) = 0.000 states/eV per cell

# 4
## Ho2TlHg5 (PBE)

Data for a relaxed Ho2TlHg5 crystal. Values from VASP.

```
&SYSTEM
  ibrav = 0, nat = 16, ntyp = 3
/
ATOMIC_SPECIES
Tl 204.38 Tl.upf
Hg 200.59 Hg.upf
Ho 164.93 Ho.upf
CELL_PARAMETERS angstrom
4.369 0.000 0.000
0.000 6.699 0.000
0.000 0.000 13.464
ATOMIC_POSITIONS angstrom
Tl 0.000 0.000 6.732
Tl 0.000 3.349 0.000
Hg 2.184 1.658 11.745
Hg 0.000 3.349 6.732
Hg 0.000 0.033 10.098
Hg 0.000 0.000 0.000
Hg 2.184 5.041 1.719
Hg 0.000 3.316 3.366
Hg 2.184 1.692 5.013
Hg 2.184 5.007 8.451
Hg 0.000 6.666 3.366
Hg 0.000 3.383 10.098
Ho 2.184 5.071 11.757
Ho 2.184 4.977 5.025
Ho 2.184 1.628 1.707
Ho 2.184 1.721 8.439
```

Values from the calculation:
calculated volume = 24.63 Å³/atom
DOS(E_F) = 14.201 states/eV per cell
energy of formation = -0.28 eV/atom

Q: Which value of calculated volume does entry 3 give?
A: 40.11 Å³/atom

Q: Look up the DOS(E_F) of the third one.
A: 0.000 states/eV per cell

Q: calculated volume of number 4 (Ho2TlHg5)?
A: 24.63 Å³/atom

Q: The highest calculated volume belongs to which entry?
A: KSrDyBr6